[1]
Computed, not measured: an optimized crystal structure of Sb2MoPtI at the PBE level of DFT.

## Properties
As for the total energy: -4.376 eV/atom. The value obtained for the spin magnetization is 0.00 μB per cell. For the energy above the most stable polymorph in this dataset, the calculation gives 0.00 kcal/mol of atoms.

a = 5.227 Å, b = 5.227 Å, c = 5.176 Å
α = 90.00°, β = 90.00°, γ = 90.00°
Space group P4/mmm (No. 123)
Symmetry-distinct sites (fractional):
Sb 0.000 0.500 0.000 (multiplicity 2)
Mo 0.000 0.000 0.000 (multiplicity 1)
Pt 0.500 0.500 0.500 (multiplicity 1)
I 0.000 0.000 0.500 (multiplicity 1)


[2]
Computed, not measured: an optimized crystal structure of YMo2PtI at the PBE level of DFT.

## Properties
As for the total energy: -5.906 eV/atom. The value obtained for the spin magnetization is 1.94 μB per cell.

a = 4.928 Å, b = 4.928 Å, c = 5.003 Å
α = 90.00°, β = 90.00°, γ = 90.00°
Space group P4/mmm (No. 123)
Symmetry-distinct sites (fractional):
Y 0.000 0.000 0.000 (multiplicity 1)
Mo 0.000 0.500 0.500 (multiplicity 2)
Pt 0.500 0.500 0.000 (multiplicity 1)
I 0.500 0.500 0.500 (multiplicity 1)


[3]
Computed, not measured: an optimized crystal structure of Rb2MoI7 at the PBE level of DFT.

## Properties
As for the total energy: -2.890 eV/atom. The value obtained for the spin magnetization is 4.26 μB per cell.

a = 8.699 Å, b = 8.699 Å, c = 13.099 Å
α = 90.00°, β = 90.00°, γ = 90.00°
Space group I4/mmm (No. 139)
Symmetry-distinct sites (fractional):
Rb 0.000 0.500 0.250 (multiplicity 4)
Mo 0.000 0.000 0.000 (multiplicity 2)
I 0.000 0.000 0.212 (multiplicity 4)
I 0.000 0.000 0.500 (multiplicity 2)
I 0.227 0.227 0.000 (multiplicity 8)


[4]
Computed, not measured: an optimized crystal structure of Rb2MoI at the PBE level of DFT.

## Properties
As for the total energy: -2.886 eV/atom. The value obtained for the spin magnetization is 18.81 μB per cell. For the energy above the most stable polymorph in this dataset, the calculation gives 2.48 kcal/mol of atoms.

a = 13.322 Å, b = 13.322 Å, c = 5.747 Å
α = 90.00°, β = 90.00°, γ = 90.00°
Space group I-42d (No. 122)
Symmetry-distinct sites (fractional):
Rb 0.098 0.250 0.125 (multiplicity 8)
Mo 0.000 0.000 0.500 (multiplicity 4)
I 0.000 0.000 0.000 (multiplicity 4)


[5]
Computed, not measured: an optimized crystal structure of Rb3MoI6 at the PBE level of DFT.

## Properties
As for the total energy: -3.199 eV/atom. The value obtained for the spin magnetization is 12.00 μB per cell.

a = 12.524 Å, b = 12.524 Å, c = 12.524 Å
α = 90.00°, β = 90.00°, γ = 90.00°
Space group Fm-3m (No. 225)
Symmetry-distinct sites (fractional):
Rb 0.000 0.000 0.000 (multiplicity 4)
Rb 0.250 0.250 0.250 (multiplicity 8)
Mo 0.000 0.000 0.500 (multiplicity 4)
I 0.000 0.000 0.276 (multiplicity 24)


[6]
Computed, not measured: an optimized crystal structure of Rb2MoI at the PBE level of DFT.

## Properties
As for the total energy: -2.993 eV/atom. The value obtained for the spin magnetization is 20.00 μB per cell. For the energy above the most stable polymorph in this dataset, the calculation gives 0.00 kcal/mol of atoms.

a = 9.133 Å, b = 9.133 Å, c = 9.133 Å
α = 90.00°, β = 90.00°, γ = 90.00°
Space group Fm-3m (No. 225)
Symmetry-distinct sites (fractional):
Rb 0.250 0.250 0.250 (multiplicity 8)
Mo 0.000 0.000 0.000 (multiplicity 4)
I 0.000 0.000 0.500 (multiplicity 4)